# 1
VASP calculation (GGA-PBE) on ErMgPd after structural relaxation.

Lattice parameters (Å, degrees): 4.755 4.755 4.755 60.00 60.00 60.00
Fractional positions:
Er 0.000 0.000 0.000
Mg 0.250 0.250 0.250
Pd 0.750 0.750 0.750

Calculated values
- Crystal system: cubic
- Total energy: -3.6789 eV per atom
- Total moment: 0.00 μB per atom

---

# 2
VASP calculation (GGA-PBE) on DyErGa4Co2 after structural relaxation.

Lattice parameters (Å, degrees): 6.862 5.379 5.379 43.89 90.00 90.00
Fractional positions:
Co 0.500 0.214 0.214
Co 0.000 0.786 0.786
Dy 0.000 0.066 0.066
Er 0.500 0.934 0.934
Ga 0.197 0.350 0.350
Ga 0.803 0.350 0.350
Ga 0.305 0.650 0.650
Ga 0.695 0.650 0.650

Calculated values
- Crystal system: orthorhombic
- Total energy: -4.9728 eV per atom
- Total moment: 0.00 μB per atom

---

# 3
VASP calculation (GGA-PBE) on K2CdGeBr6 after structural relaxation.

Lattice parameters (Å, degrees): 7.839 7.839 7.839 60.00 60.00 60.00
Fractional positions:
Br 0.749 0.251 0.251
Br 0.251 0.749 0.251
Br 0.749 0.749 0.251
Br 0.251 0.251 0.749
Br 0.749 0.251 0.749
Br 0.251 0.749 0.749
Cd 0.000 0.000 0.000
Ge 0.500 0.500 0.500
K 0.250 0.250 0.250
K 0.750 0.750 0.750

Calculated values
- Crystal system: cubic
- Total energy: -2.8575 eV per atom

---

# 4
VASP calculation (GGA-PBE) on GaAg2F5 after structural relaxation.

Lattice parameters (Å, degrees): 6.495 6.495 9.866 90.00 90.00 145.70
Fractional positions:
Ag 0.372 0.628 0.107
Ag 0.372 0.628 0.393
Ag 0.628 0.372 0.607
Ag 0.628 0.372 0.893
F 0.766 0.234 0.112
F 0.554 0.446 0.116
F 0.167 0.833 0.250
F 0.554 0.446 0.384
F 0.766 0.234 0.388
F 0.234 0.766 0.612
F 0.446 0.554 0.616
F 0.833 0.167 0.750
F 0.446 0.554 0.884
F 0.234 0.766 0.888
Ga 0.659 0.341 0.250
Ga 0.341 0.659 0.750

Calculated values
- Crystal system: orthorhombic
- Total energy: -4.0452 eV per atom

---

Question: Which value of total energy does entry 2 give?
Answer: -4.9728 eV per atom

---

Question: The lowest total energy belongs to which entry?
Answer: DyErGa4Co2

---

Question: Number 2 is which compound?
Answer: DyErGa4Co2